AgSn3S | GGA-PBEsol | optimized geometry

Cell lengths 5.2088, 5.2088, 5.2088 Å; angles 90.00, 90.00, 90.00 degrees
Closest atoms and distances in Å follow each position.
Space group Pm-3m (No. 221)
One atom of each set of equivalent atoms:
Ag1 0.0000 0.0000 0.0000 x1  6 Sn 2.60
Sn1 0.0000 0.0000 0.5000 x3  2 Ag 2.60
S1 0.5000 0.5000 0.5000 x1  12 Sn 3.68

**ΔE_f (raw)**: 0.50 eV per atom
**D(E_F)**: 0.50 states/eV/atom
**VASP energy**: -0.132 Ha/atom